[1]
# Ac2MnGe3Rh4 PBE optimized geometry
data_Ac2MnGe3Rh4
_cell_length_a 4.294
_cell_length_b 4.294
_cell_length_c 10.643
_cell_angle_alpha 90.00
_cell_angle_beta 90.00
_cell_angle_gamma 90.00
_symmetry_space_group_name_H-M 'P -4 m 2'
_symmetry_Int_Tables_number 115
loop_
_symmetry_equiv_pos_as_xyz
'x,y,z'
'y,-x,-z'
'-x,-y,z'
'-y,x,-z'
'-x,y,z'
'-y,-x,-z'
'x,-y,z'
'y,x,-z'
loop_
_atom_site_label
_atom_site_fract_x
_atom_site_fract_y
_atom_site_fract_z
Ac1 0.000 0.500 0.248
Mn1 0.500 0.500 0.000
Ge1 0.000 0.000 0.000
Ge2 0.000 0.500 0.624
Rh1 0.000 0.000 0.500
Rh2 0.000 0.500 0.865
Rh3 0.500 0.500 0.500
# * total magnetic moment: 3.66 μB per cell
# * E_form: -0.740 eV per atom

=====

[2]
# AgP2 PBE optimized geometry
data_AgP2
_cell_length_a 7.7954
_cell_length_b 7.7954
_cell_length_c 3.2814
_cell_angle_alpha 90.00
_cell_angle_beta 90.00
_cell_angle_gamma 120.00
_symmetry_space_group_name_H-M 'P -6 2 m'
_symmetry_Int_Tables_number 189
_symmetry_space_group_name_Hall 'P -6 -2'
loop_
_atom_site_label
_atom_site_fract_x
_atom_site_fract_y
_atom_site_fract_z
Ag1 0.0000 0.0000 0.0000
Ag2 0.3333 0.6667 0.5000
P1 0.0000 0.5089 0.0000
P2 0.0000 0.7042 0.5000
# * total magnetic moment: 0.00 μB per cell
# * E_form: 0.343 eV per atom
# * energy above the lowest structure with this stoichiometry: 1.03 eV per formula unit

=====

Which of these has the highest E_form? AgP2

=====

Which formula does entry 2 have? AgP2

=====

The lowest total magnetic moment belongs to which entry? AgP2

=====

Copy entry 1 word for word.
# Ac2MnGe3Rh4 PBE optimized geometry
data_Ac2MnGe3Rh4
_cell_length_a 4.294
_cell_length_b 4.294
_cell_length_c 10.643
_cell_angle_alpha 90.00
_cell_angle_beta 90.00
_cell_angle_gamma 90.00
_symmetry_space_group_name_H-M 'P -4 m 2'
_symmetry_Int_Tables_number 115
loop_
_symmetry_equiv_pos_as_xyz
'x,y,z'
'y,-x,-z'
'-x,-y,z'
'-y,x,-z'
'-x,y,z'
'-y,-x,-z'
'x,-y,z'
'y,x,-z'
loop_
_atom_site_label
_atom_site_fract_x
_atom_site_fract_y
_atom_site_fract_z
Ac1 0.000 0.500 0.248
Mn1 0.500 0.500 0.000
Ge1 0.000 0.000 0.000
Ge2 0.000 0.500 0.624
Rh1 0.000 0.000 0.500
Rh2 0.000 0.500 0.865
Rh3 0.500 0.500 0.500
# * total magnetic moment: 3.66 μB per cell
# * E_form: -0.740 eV per atom